(1)
A crystal of KLaHg3 relaxed with PBEsol, computed with meta-GGA SCAN.

CIF file:
```
data_KLaHg3
_chemical_formula_sum 'K1 La1 Hg3'
_space_group_name_H-M_alt 'P m -3 m'
_space_group_IT_number 221
_space_group_name_Hall '-P 4 2 3'
_cell_length_a 5.487
_cell_length_b 5.487
_cell_length_c 5.487
_cell_angle_alpha 90.00
_cell_angle_beta 90.00
_cell_angle_gamma 90.00
loop_
_atom_site_label
_atom_site_fract_x
_atom_site_fract_y
_atom_site_fract_z
K1 0.000 0.000 0.000
La1 0.500 0.500 0.500
Hg1 0.000 0.000 0.500
```

## Properties
Energy relative to the elements   223 meV per atom
DFT total energy   -50.96 eV/atom


(2)
A crystal of KLaHg relaxed with PBEsol, computed with meta-GGA SCAN.

CIF file:
```
data_KLaHg
_chemical_formula_sum 'K2 La2 Hg2'
_space_group_name_H-M_alt 'I 4 m m'
_space_group_IT_number 107
_space_group_name_Hall 'I 4 -2'
_cell_length_a 3.846
_cell_length_b 3.846
_cell_length_c 15.436
_cell_angle_alpha 90.00
_cell_angle_beta 90.00
_cell_angle_gamma 90.00
loop_
_atom_site_label
_atom_site_fract_x
_atom_site_fract_y
_atom_site_fract_z
K1 0.000 0.000 0.000
La1 0.000 0.000 0.738
Hg1 0.000 0.000 0.340
```

## Properties
Energy relative to the elements   -245 meV per atom
Distance to the lowest polymorph of the same formula   0 meV per atom
DFT total energy   -40.11 eV/atom


(3)
A crystal of K2LaHg relaxed with PBEsol, computed with meta-GGA SCAN.

CIF file:
```
data_K2LaHg
_chemical_formula_sum 'K2 La1 Hg1'
_space_group_name_H-M_alt 'P m m m'
_space_group_IT_number 47
_cell_length_a 3.581
_cell_length_b 5.953
_cell_length_c 7.052
_cell_angle_alpha 90.00
_cell_angle_beta 90.00
_cell_angle_gamma 90.00
loop_
_space_group_symop_operation_xyz
'x,y,z'
'-x,-y,-z'
'-x,-y,z'
'x,y,-z'
'x,-y,-z'
'-x,y,z'
'-x,y,-z'
'x,-y,z'
loop_
_atom_site_label
_atom_site_fract_x
_atom_site_fract_y
_atom_site_fract_z
K1 0.000 0.000 0.227
La1 0.500 0.500 0.500
Hg1 0.500 0.500 0.000
```

## Properties
Energy relative to the elements   192 meV per atom
DFT total energy   -31.79 eV/atom


Which value of DFT total energy does entry 1 give? -50.96 eV/atom


Look up the DFT total energy of the second one. -40.11 eV/atom


Copy entry 1 word for word.
A crystal of KLaHg3 relaxed with PBEsol, computed with meta-GGA SCAN.

CIF file:
```
data_KLaHg3
_chemical_formula_sum 'K1 La1 Hg3'
_space_group_name_H-M_alt 'P m -3 m'
_space_group_IT_number 221
_space_group_name_Hall '-P 4 2 3'
_cell_length_a 5.487
_cell_length_b 5.487
_cell_length_c 5.487
_cell_angle_alpha 90.00
_cell_angle_beta 90.00
_cell_angle_gamma 90.00
loop_
_atom_site_label
_atom_site_fract_x
_atom_site_fract_y
_atom_site_fract_z
K1 0.000 0.000 0.000
La1 0.500 0.500 0.500
Hg1 0.000 0.000 0.500
```

## Properties
Energy relative to the elements   223 meV per atom
DFT total energy   -50.96 eV/atom